Record 1
## TaGa2Au (PBE)

Data for a geometry-optimized TaGa2Au structure.

Structure (CIF):
```
data_TaGa2Au
_chemical_formula_sum 'Ta4 Ga8 Au4'
_cell_length_a 7.139
_cell_length_b 7.139
_cell_length_c 5.742
_cell_angle_alpha 90.00
_cell_angle_beta 90.00
_cell_angle_gamma 90.00
_symmetry_space_group_name_H-M 'I -4 2 d'
_symmetry_Int_Tables_number 122
_symmetry_space_group_name_Hall 'I -4 2bw'
loop_
_atom_site_label
_atom_site_type_symbol
_atom_site_fract_x
_atom_site_fract_y
_atom_site_fract_z
_atom_site_occupancy
Ta1 Ta 0.000 0.000 0.000 1
Ga1 Ga 0.234 0.250 0.625 1
Au1 Au 0.000 0.000 0.500 1
```

Values from the calculation:
- Mass density: 11.741 g cm⁻³
- Formation energy from the elements: 182 meV/atom
- Crystal system: tetragonal

=====

Record 2
## Ta2GaAu (PBE)

Data for a geometry-optimized Ta2GaAu structure.

Structure (CIF):
```
data_Ta2GaAu
_chemical_formula_sum 'Ta4 Ga2 Au2'
_cell_length_a 5.073
_cell_length_b 2.934
_cell_length_c 9.584
_cell_angle_alpha 90.00
_cell_angle_beta 100.10
_cell_angle_gamma 90.00
_symmetry_space_group_name_H-M 'C 1 m 1'
_symmetry_Int_Tables_number 8
_symmetry_space_group_name_Hall 'C -2y'
loop_
_atom_site_label
_atom_site_type_symbol
_atom_site_fract_x
_atom_site_fract_y
_atom_site_fract_z
_atom_site_occupancy
Ta1 Ta 0.000 0.000 0.000 1
Ta2 Ta 0.170 0.000 0.510 1
Ga1 Ga 0.084 0.500 0.754 1
Au1 Au 0.251 0.500 0.254 1
```

Values from the calculation:
- Mass density: 14.866 g cm⁻³
- Formation energy from the elements: 27 meV/atom
- Crystal system: monoclinic

=====

Record 3
## TbGaAu (PBE)

Data for a geometry-optimized TbGaAu structure.

Structure (CIF):
```
data_TbGaAu
_chemical_formula_sum 'Tb4 Ga4 Au4'
_cell_length_a 6.612
_cell_length_b 6.612
_cell_length_c 6.612
_cell_angle_alpha 90.00
_cell_angle_beta 90.00
_cell_angle_gamma 90.00
_symmetry_space_group_name_H-M 'F -4 3 m'
_symmetry_Int_Tables_number 216
_symmetry_space_group_name_Hall 'F -4 2 3'
loop_
_atom_site_label
_atom_site_type_symbol
_atom_site_fract_x
_atom_site_fract_y
_atom_site_fract_z
_atom_site_occupancy
Tb1 Tb 0.000 0.000 0.000 1
Ga1 Ga 0.000 0.000 0.500 1
Au1 Au 0.250 0.250 0.750 1
```

Values from the calculation:
- Mass density: 9.778 g cm⁻³
- Formation energy from the elements: -630 meV/atom
- Crystal system: cubic

=====

Record 4
## Tb4Ga3Au (PBE)

Data for a geometry-optimized Tb4Ga3Au structure.

Structure (CIF):
```
data_Tb4Ga3Au
_chemical_formula_sum 'Tb4 Ga3 Au1'
_cell_length_a 4.052
_cell_length_b 4.309
_cell_length_c 11.167
_cell_angle_alpha 90.00
_cell_angle_beta 90.00
_cell_angle_gamma 90.00
_symmetry_space_group_name_H-M 'P m m 2'
_symmetry_Int_Tables_number 25
_symmetry_space_group_name_Hall 'P 2 -2'
loop_
_atom_site_label
_atom_site_type_symbol
_atom_site_fract_x
_atom_site_fract_y
_atom_site_fract_z
_atom_site_occupancy
Tb1 Tb 0.000 0.000 0.000 1
Tb2 Tb 0.000 0.500 0.279 1
Tb3 Tb 0.500 0.000 0.495 1
Tb4 Tb 0.500 0.500 0.783 1
Ga1 Ga 0.000 0.000 0.713 1
Ga2 Ga 0.000 0.500 0.565 1
Ga3 Ga 0.500 0.500 0.055 1
Au1 Au 0.500 0.000 0.220 1
```

Values from the calculation:
- Mass density: 8.872 g cm⁻³
- Formation energy from the elements: -659 meV/atom
- Crystal system: orthorhombic

=====

Record 5
## TbGa2Au6 (PBE)

Data for a geometry-optimized TbGa2Au6 structure.

Structure (CIF):
```
data_TbGa2Au6
_chemical_formula_sum 'Tb2 Ga4 Au12'
_cell_length_a 9.910
_cell_length_b 6.664
_cell_length_c 5.489
_cell_angle_alpha 90.00
_cell_angle_beta 98.22
_cell_angle_gamma 90.00
_symmetry_space_group_name_H-M 'C 1 2/m 1'
_symmetry_Int_Tables_number 12
_symmetry_space_group_name_Hall '-C 2y'
loop_
_atom_site_label
_atom_site_type_symbol
_atom_site_fract_x
_atom_site_fract_y
_atom_site_fract_z
_atom_site_occupancy
Tb1 Tb 0.000 0.000 0.000 1
Ga1 Ga 0.090 0.500 0.841 1
Au1 Au 0.000 0.218 0.500 1
Au2 Au 0.225 0.278 0.243 1
```

Values from the calculation:
- Mass density: 13.702 g cm⁻³
- Formation energy from the elements: -338 meV/atom
- Crystal system: monoclinic

=====

Record 6
## TbGa2Au8 (PBE)

Data for a geometry-optimized TbGa2Au8 structure.

Structure (CIF):
```
data_TbGa2Au8
_chemical_formula_sum 'Tb2 Ga4 Au16'
_cell_length_a 14.288
_cell_length_b 4.298
_cell_length_c 7.741
_cell_angle_alpha 90.00
_cell_angle_beta 118.18
_cell_angle_gamma 90.00
_symmetry_space_group_name_H-M 'C 1 2/m 1'
_symmetry_Int_Tables_number 12
_symmetry_space_group_name_Hall '-C 2y'
loop_
_atom_site_label
_atom_site_type_symbol
_atom_site_fract_x
_atom_site_fract_y
_atom_site_fract_z
_atom_site_occupancy
Tb1 Tb 0.000 0.000 0.000 1
Ga1 Ga 0.221 0.500 0.697 1
Au1 Au 0.043 0.500 0.746 1
Au2 Au 0.096 0.000 0.466 1
Au3 Au 0.163 0.500 0.286 1
Au4 Au 0.184 0.000 0.897 1
```

Values from the calculation:
- Mass density: 14.853 g cm⁻³
- Formation energy from the elements: -318 meV/atom
- Crystal system: monoclinic

=====

Record 7
## Tb3Ga9Au2 (PBE)

Data for a geometry-optimized Tb3Ga9Au2 structure.

Structure (CIF):
```
data_Tb3Ga9Au2
_chemical_formula_sum 'Tb6 Ga18 Au4'
_cell_length_a 4.255
_cell_length_b 10.267
_cell_length_c 12.401
_cell_angle_alpha 90.00
_cell_angle_beta 90.00
_cell_angle_gamma 90.00
_symmetry_space_group_name_H-M 'I m m m'
_symmetry_Int_Tables_number 71
_symmetry_space_group_name_Hall '-I 2 2'
loop_
_atom_site_label
_atom_site_type_symbol
_atom_site_fract_x
_atom_site_fract_y
_atom_site_fract_z
_atom_site_occupancy
Tb1 Tb 0.000 0.000 0.000 1
Tb2 Tb 0.000 0.000 0.321 1
Ga1 Ga 0.000 0.274 0.139 1
Ga2 Ga 0.000 0.378 0.334 1
Ga3 Ga 0.000 0.500 0.000 1
Au1 Au 0.000 0.218 0.500 1
```

Values from the calculation:
- Mass density: 9.183 g cm⁻³
- Formation energy from the elements: -544 meV/atom
- Crystal system: orthorhombic

=====

Record 8
## TbGa2Au3 (PBE)

Data for a geometry-optimized TbGa2Au3 structure.

Structure (CIF):
```
data_TbGa2Au3
_chemical_formula_sum 'Tb4 Ga8 Au12'
_cell_length_a 15.994
_cell_length_b 4.508
_cell_length_c 6.756
_cell_angle_alpha 90.00
_cell_angle_beta 105.98
_cell_angle_gamma 90.00
_symmetry_space_group_name_H-M 'C 1 2/m 1'
_symmetry_Int_Tables_number 12
_symmetry_space_group_name_Hall '-C 2y'
loop_
_atom_site_label
_atom_site_type_symbol
_atom_site_fract_x
_atom_site_fract_y
_atom_site_fract_z
_atom_site_occupancy
Tb1 Tb 0.122 0.000 0.176 1
Ga1 Ga 0.010 0.500 0.808 1
Ga2 Ga 0.227 0.000 0.671 1
Au1 Au 0.064 0.000 0.698 1
Au2 Au 0.140 0.500 0.495 1
Au3 Au 0.189 0.500 0.939 1
```

Values from the calculation:
- Mass density: 12.613 g cm⁻³
- Formation energy from the elements: -543 meV/atom
- Crystal system: monoclinic